# K2Tl2PtPb (GGA-PBE, optimized geometry)
# * DFT formation energy: -0.7 eV per formula unit
# * magnetization: 0.00 μB per cell
data_K2Tl2PtPb
_symmetry_space_group_name_H-M 'I b a m'
_symmetry_Int_Tables_number 72
_symmetry_space_group_name_Hall '-I 2 2c'
_cell_length_a 6.840
_cell_length_b 16.627
_cell_length_c 6.971
_cell_angle_alpha 90.00
_cell_angle_beta 90.00
_cell_angle_gamma 90.00
loop_
_atom_site_label
_atom_site_fract_x
_atom_site_fract_y
_atom_site_fract_z
K1 0.216 0.169 0.000
Tl1 0.189 0.392 0.000
Pt1 0.000 0.500 0.250
Pb1 0.000 0.000 0.250

# K2TlPtPb (GGA-PBE, optimized geometry)
# * DFT formation energy: 0.0 eV per formula unit
# * magnetization: 0.00 μB per cell
data_K2TlPtPb
_symmetry_space_group_name_H-M 'P 4/m m m'
_symmetry_Int_Tables_number 123
_symmetry_space_group_name_Hall '-P 4 2'
_cell_length_a 6.176
_cell_length_b 6.176
_cell_length_c 5.212
_cell_angle_alpha 90.00
_cell_angle_beta 90.00
_cell_angle_gamma 90.00
loop_
_atom_site_label
_atom_site_fract_x
_atom_site_fract_y
_atom_site_fract_z
K1 0.000 0.500 0.000
Tl1 0.000 0.000 0.500
Pt1 0.500 0.500 0.000
Pb1 0.500 0.500 0.500

# KTl2PtPb (GGA-PBE, optimized geometry)
# * DFT formation energy: -0.1 eV per formula unit
# * magnetization: 0.00 μB per cell
data_KTl2PtPb
_symmetry_space_group_name_H-M 'P 4/m m m'
_symmetry_Int_Tables_number 123
_symmetry_space_group_name_Hall '-P 4 2'
_cell_length_a 5.421
_cell_length_b 5.421
_cell_length_c 5.657
_cell_angle_alpha 90.00
_cell_angle_beta 90.00
_cell_angle_gamma 90.00
loop_
_atom_site_label
_atom_site_fract_x
_atom_site_fract_y
_atom_site_fract_z
K1 0.000 0.000 0.000
Tl1 0.000 0.500 0.500
Pt1 0.500 0.500 0.500
Pb1 0.500 0.500 0.000

# KPuPb4 (GGA-PBE, optimized geometry)
# * DFT formation energy: 0.1 eV per formula unit
# * magnetization: 21.23 μB per cell
data_KPuPb4
_symmetry_space_group_name_H-M 'F -4 3 m'
_symmetry_Int_Tables_number 216
_symmetry_space_group_name_Hall 'F -4 2 3'
_cell_length_a 9.290
_cell_length_b 9.290
_cell_length_c 9.290
_cell_angle_alpha 90.00
_cell_angle_beta 90.00
_cell_angle_gamma 90.00
loop_
_atom_site_label
_atom_site_fract_x
_atom_site_fract_y
_atom_site_fract_z
K1 0.000 0.000 0.000
Pu1 0.250 0.250 0.750
Pb1 0.124 0.124 0.376

# K3PuPb2S6 (GGA-PBE, optimized geometry)
# * magnetization: 5.99 μB per cell
# * total DFT energy (no corrections): -125.00 eV for the cell shown
data_K3PuPb2S6
_symmetry_space_group_name_H-M 'C 1 2/m 1'
_symmetry_Int_Tables_number 12
_symmetry_space_group_name_Hall '-C 2y'
_cell_length_a 7.328
_cell_length_b 12.677
_cell_length_c 7.666
_cell_angle_alpha 90.00
_cell_angle_beta 108.68
_cell_angle_gamma 90.00
loop_
_atom_site_label
_atom_site_fract_x
_atom_site_fract_y
_atom_site_fract_z
K1 0.000 0.000 0.000
K2 0.000 0.326 0.000
Pu1 0.000 0.500 0.500
Pb1 0.000 0.166 0.500
S1 0.219 0.349 0.706
S2 0.231 0.500 0.294

# K3Pu2PbS6 (GGA-PBE, optimized geometry)
# * magnetization: 18.00 μB per cell
# * total DFT energy (no corrections): -153.45 eV for the cell shown
data_K3Pu2PbS6
_symmetry_space_group_name_H-M 'C 1 2/m 1'
_symmetry_Int_Tables_number 12
_symmetry_space_group_name_Hall '-C 2y'
_cell_length_a 7.214
_cell_length_b 12.490
_cell_length_c 7.698
_cell_angle_alpha 90.00
_cell_angle_beta 108.29
_cell_angle_gamma 90.00
loop_
_atom_site_label
_atom_site_fract_x
_atom_site_fract_y
_atom_site_fract_z
K1 0.000 0.000 0.000
K2 0.000 0.340 0.000
Pu1 0.000 0.167 0.500
Pb1 0.000 0.500 0.500
S1 0.210 0.000 0.703
S2 0.248 0.321 0.704

# K2PuPbSe4 (GGA-PBE, optimized geometry)
# * magnetization: 4.00 μB per cell
# * total DFT energy (no corrections): -43.25 eV for the cell shown
data_K2PuPbSe4
_symmetry_space_group_name_H-M 'P 1 2/m 1'
_symmetry_Int_Tables_number 10
_symmetry_space_group_name_Hall '-P 2y'
_cell_length_a 7.600
_cell_length_b 4.342
_cell_length_c 7.981
_cell_angle_alpha 90.00
_cell_angle_beta 107.93
_cell_angle_gamma 90.00
loop_
_atom_site_label
_atom_site_fract_x
_atom_site_fract_y
_atom_site_fract_z
K1 0.000 0.000 0.000
K2 0.500 0.500 0.000
Pu1 0.000 0.500 0.500
Pb1 0.500 0.000 0.500
Se1 0.216 0.000 0.703
Se2 0.238 0.500 0.290

# K4Pu3PbSe8 (GGA-PBE, optimized geometry)
# * magnetization: 8.68 μB per cell
# * total DFT energy (no corrections): -193.58 eV for the cell shown
data_K4Pu3PbSe8
_symmetry_space_group_name_H-M 'C 1 2/m 1'
_symmetry_Int_Tables_number 12
_symmetry_space_group_name_Hall '-C 2y'
_cell_length_a 15.417
_cell_length_b 8.458
_cell_length_c 7.719
_cell_angle_alpha 90.00
_cell_angle_beta 95.45
_cell_angle_gamma 90.00
loop_
_atom_site_label
_atom_site_fract_x
_atom_site_fract_y
_atom_site_fract_z
K1 0.000 0.000 0.000
K2 0.000 0.500 0.000
K3 0.250 0.250 0.500
Pu1 0.000 0.000 0.500
Pu2 0.250 0.250 0.000
Pb1 0.000 0.500 0.500
Se1 0.086 0.236 0.728
Se2 0.182 0.000 0.204
Se3 0.184 0.500 0.196

# K3PuPb2Se6 (GGA-PBE, optimized geometry)
# * magnetization: 5.94 μB per cell
# * total DFT energy (no corrections): -116.28 eV for the cell shown
data_K3PuPb2Se6
_symmetry_space_group_name_H-M 'C 1 2/m 1'
_symmetry_Int_Tables_number 12
_symmetry_space_group_name_Hall '-C 2y'
_cell_length_a 7.601
_cell_length_b 13.156
_cell_length_c 7.987
_cell_angle_alpha 90.00
_cell_angle_beta 108.57
_cell_angle_gamma 90.00
loop_
_atom_site_label
_atom_site_fract_x
_atom_site_fract_y
_atom_site_fract_z
K1 0.000 0.000 0.000
K2 0.000 0.326 0.000
Pu1 0.000 0.500 0.500
Pb1 0.000 0.166 0.500
Se1 0.222 0.347 0.708
Se2 0.234 0.500 0.291

# K2PuTe4Pb (GGA-PBE, optimized geometry)
# * magnetization: 3.98 μB per cell
# * total DFT energy (no corrections): -39.68 eV for the cell shown
data_K2PuTe4Pb
_symmetry_space_group_name_H-M 'P 1 2/m 1'
_symmetry_Int_Tables_number 10
_symmetry_space_group_name_Hall '-P 2y'
_cell_length_a 8.074
_cell_length_b 4.632
_cell_length_c 8.548
_cell_angle_alpha 90.00
_cell_angle_beta 107.91
_cell_angle_gamma 90.00
loop_
_atom_site_label
_atom_site_fract_x
_atom_site_fract_y
_atom_site_fract_z
K1 0.000 0.000 0.000
K2 0.500 0.500 0.000
Pu1 0.000 0.500 0.500
Te1 0.221 0.000 0.706
Te2 0.244 0.500 0.288
Pb1 0.500 0.000 0.500

# K3Pu2Te6Pb (GGA-PBE, optimized geometry)
# * magnetization: 18.00 μB per cell
# * total DFT energy (no corrections): -132.14 eV for the cell shown
data_K3Pu2Te6Pb
_symmetry_space_group_name_H-M 'C 1 2/m 1'
_symmetry_Int_Tables_number 12
_symmetry_space_group_name_Hall '-C 2y'
_cell_length_a 7.993
_cell_length_b 13.841
_cell_length_c 8.572
_cell_angle_alpha 90.00
_cell_angle_beta 108.12
_cell_angle_gamma 90.00
loop_
_atom_site_label
_atom_site_fract_x
_atom_site_fract_y
_atom_site_fract_z
K1 0.000 0.000 0.000
K2 0.000 0.339 0.000
Pu1 0.000 0.167 0.500
Te1 0.220 0.000 0.708
Te2 0.245 0.325 0.710
Pb1 0.000 0.500 0.500

# KPuTlPb (GGA-PBE, optimized geometry)
# * DFT formation energy: 0.2 eV per formula unit
# * magnetization: 23.87 μB per cell
data_KPuTlPb
_symmetry_space_group_name_H-M 'F -4 3 m'
_symmetry_Int_Tables_number 216
_symmetry_space_group_name_Hall 'F -4 2 3'
_cell_length_a 8.010
_cell_length_b 8.010
_cell_length_c 8.010
_cell_angle_alpha 90.00
_cell_angle_beta 90.00
_cell_angle_gamma 90.00
loop_
_atom_site_label
_atom_site_fract_x
_atom_site_fract_y
_atom_site_fract_z
K1 0.000 0.000 0.000
Pu1 0.000 0.000 0.500
Tl1 0.250 0.250 0.250
Pb1 0.250 0.250 0.750

Question: magnetization of number 1 (K2Tl2PtPb)?
Answer: 0.00 μB per cell

What did the tenth record say?
# K2PuTe4Pb (GGA-PBE, optimized geometry)
# * magnetization: 3.98 μB per cell
# * total DFT energy (no corrections): -39.68 eV for the cell shown
data_K2PuTe4Pb
_symmetry_space_group_name_H-M 'P 1 2/m 1'
_symmetry_Int_Tables_number 10
_symmetry_space_group_name_Hall '-P 2y'
_cell_length_a 8.074
_cell_length_b 4.632
_cell_length_c 8.548
_cell_angle_alpha 90.00
_cell_angle_beta 107.91
_cell_angle_gamma 90.00
loop_
_atom_site_label
_atom_site_fract_x
_atom_site_fract_y
_atom_site_fract_z
K1 0.000 0.000 0.000
K2 0.500 0.500 0.000
Pu1 0.000 0.500 0.500
Te1 0.221 0.000 0.706
Te2 0.244 0.500 0.288
Pb1 0.500 0.000 0.500

Question: Look up the magnetization of the ninth one.
Answer: 5.94 μB per cell

Question: Among the records above, which one has the highest magnetization?
Answer: KPuTlPb